First-principles (PBE) data for an optimized crystal structure of La4InPb, as listed in Alexandria via LeMat-Bulk.

```
La4InPb
1.0
4.974 0.292 1.571
1.526 4.743 1.571
3.621 2.805 10.101
La In Pb
4 1 1
Cartesian
3.920 3.037 3.175
6.201 4.803 10.068
2.447 1.895 6.701
7.674 5.945 6.542
0.000 0.000 0.000
5.061 3.920 6.621
```

Results
M_tot: 0.0 μB/f.u.
E_form: -1.857 eV/f.u.
Symmetry: C2/m